Material: TiPbCl2
Method: DFT, PBE-GGA
State: optimized geometry

Output
**SG**: R-3m
**Formation energy without anion corrections**: -0.93 eV per atom
**Energy relative to the lowest polymorph listed for this composition**: 0.0 meV/atom
**Density of states at the Fermi level**: 2.781 states/eV per cell
**Total energy**: -4.76 eV per atom

Lattice parameters (Å, degrees): 10.778 10.778 10.778 17.58 17.58 17.58
Atoms (fractional coordinates):
Pb 0.000 0.000 0.000
Cl 0.883 0.883 0.883
Cl 0.117 0.117 0.117
Ti 0.500 0.500 0.500

Material: Ti3PbCl
Method: DFT, PBE-GGA
State: optimized geometry

Output
**SG**: Pm-3m
**Formation energy without anion corrections**: 0.01 eV per atom
**Energy relative to the lowest polymorph listed for this composition**: 0.0 meV/atom
**Density of states at the Fermi level**: 6.138 states/eV per cell
**Total energy**: -5.84 eV per atom

Lattice parameters (Å, degrees): 4.545 4.545 4.545 90.00 90.00 90.00
Site moments in Bohr magnetons follow the coordinates.
Atoms (fractional coordinates):
Cl 0.000 0.000 0.000  -0.01
Pb 0.500 0.500 0.500  0.01
Ti 0.500 0.000 0.000  0.39
Ti 0.000 0.000 0.500  0.29
Ti 0.000 0.500 0.000  0.45

Material: TiPbCl2
Method: DFT, PBE-GGA
State: optimized geometry

Output
**SG**: R-3m
**Formation energy without anion corrections**: -0.53 eV per atom
**Energy relative to the lowest polymorph listed for this composition**: 402.3 meV/atom
**Density of states at the Fermi level**: 3.698 states/eV per cell
**Total energy**: -4.35 eV per atom

Lattice parameters (Å, degrees): 10.000 10.000 10.000 19.68 19.68 19.68
Site moments in Bohr magnetons follow the coordinates.
Atoms (fractional coordinates):
Pb 0.500 0.500 0.500  0.00
Ti 0.000 0.000 0.000  0.53
Cl 0.078 0.078 0.078  -0.01
Cl 0.922 0.922 0.922  -0.01

Material: Ti2PbCl
Method: DFT, PBE-GGA
State: optimized geometry

Output
**SG**: I-42d
**Formation energy without anion corrections**: 0.22 eV per atom
**Energy relative to the lowest polymorph listed for this composition**: 208.1 meV/atom
**Density of states at the Fermi level**: 9.295 states/eV per cell
**Total energy**: -5.12 eV per atom

Lattice parameters (Å, degrees): 5.057 5.057 8.356 72.39 72.39 90.00
Site moments in Bohr magnetons follow the coordinates.
Atoms (fractional coordinates):
Ti 0.875 0.774 0.750  0.58
Ti 0.226 0.625 0.250  0.58
Pb 0.000 0.000 0.000  -0.01
Ti 0.375 0.476 0.750  0.58
Cl 0.500 0.500 0.000  -0.01
Ti 0.524 0.125 0.250  0.58
Cl 0.250 0.750 0.500  -0.01
Pb 0.750 0.250 0.500  -0.01

Material: Tl4Pb3Cl10
Method: DFT, PBE-GGA
State: optimized geometry

Output
**SG**: P-1
**Formation energy without anion corrections**: -1.07 eV per atom
**Density of states at the Fermi level**: 0.000 states/eV per cell
**Total energy**: -3.37 eV per atom

Lattice parameters (Å, degrees): 5.704 5.730 20.033 98.73 97.42 91.04
Atoms (fractional coordinates):
Cl 0.143 0.081 0.146
Pb 0.000 0.000 0.000
Pb 0.828 0.844 0.704
Tl 0.404 0.581 0.133
Tl 0.699 0.803 0.408
Tl 0.301 0.197 0.592
Cl 0.323 0.793 0.685
Cl 0.798 0.341 0.729
Cl 0.677 0.207 0.315
Cl 0.202 0.659 0.271
Cl 0.772 0.920 0.566
Cl 0.500 0.000 0.000
Cl 0.000 0.500 0.000
Cl 0.857 0.919 0.854
Tl 0.596 0.419 0.867
Cl 0.228 0.080 0.434
Pb 0.172 0.156 0.296

Material: TlPb2Cl
Method: DFT, PBE-GGA
State: optimized geometry

Output
**SG**: Fm-3m
**Formation energy without anion corrections**: -0.16 eV per atom
**Energy relative to the lowest polymorph listed for this composition**: 179.1 meV/atom
**Density of states at the Fermi level**: 1.668 states/eV per cell
**Total energy**: -3.07 eV per atom

Lattice parameters (Å, degrees): 5.446 5.446 5.446 60.00 60.00 60.00
Atoms (fractional coordinates):
Pb 0.750 0.750 0.750
Pb 0.250 0.250 0.250
Cl 0.000 0.000 0.000
Tl 0.500 0.500 0.500

Material: Tl2PbCl5
Method: DFT, PBE-GGA
State: optimized geometry

Output
**SG**: Cm
**Formation energy without anion corrections**: -0.87 eV per atom
**Density of states at the Fermi level**: 4.777 states/eV per cell
**Total energy**: -3.08 eV per atom

Lattice parameters (Å, degrees): 7.661 7.766 7.684 121.30 119.90 90.00
Atoms (fractional coordinates):
Cl 0.813 0.292 0.114
Cl 0.300 0.292 0.114
Tl 0.695 0.163 0.389
Cl 0.265 0.777 0.045
Tl 0.190 0.696 0.379
Cl 0.780 0.777 0.045
Pb 0.986 0.989 0.972
Cl 0.748 0.792 0.497

Material: Tl2Pb3Cl8
Method: DFT, PBE-GGA
State: optimized geometry

Output
**SG**: C2/m
**Formation energy without anion corrections**: -1.11 eV per atom
**Energy relative to the lowest polymorph listed for this composition**: 10.0 meV/atom
**Density of states at the Fermi level**: 0.000 states/eV per cell
**Total energy**: -3.47 eV per atom

Lattice parameters (Å, degrees): 7.368 8.564 8.564 62.26 88.92 88.92
Atoms (fractional coordinates):
Tl 0.510 0.283 0.283
Tl 0.490 0.717 0.717
Cl 0.671 0.888 0.341
Cl 0.671 0.341 0.888
Cl 0.329 0.112 0.659
Pb 0.500 0.000 0.000
Cl 0.329 0.659 0.112
Pb 0.000 0.255 0.745
Cl 0.835 0.891 0.891
Cl 0.165 0.109 0.109
Cl 0.863 0.393 0.393
Pb 0.000 0.745 0.255
Cl 0.137 0.607 0.607

Copy entry 5 word for word.
Material: Tl4Pb3Cl10
Method: DFT, PBE-GGA
State: optimized geometry

Output
**SG**: P-1
**Formation energy without anion corrections**: -1.07 eV per atom
**Density of states at the Fermi level**: 0.000 states/eV per cell
**Total energy**: -3.37 eV per atom

Lattice parameters (Å, degrees): 5.704 5.730 20.033 98.73 97.42 91.04
Atoms (fractional coordinates):
Cl 0.143 0.081 0.146
Pb 0.000 0.000 0.000
Pb 0.828 0.844 0.704
Tl 0.404 0.581 0.133
Tl 0.699 0.803 0.408
Tl 0.301 0.197 0.592
Cl 0.323 0.793 0.685
Cl 0.798 0.341 0.729
Cl 0.677 0.207 0.315
Cl 0.202 0.659 0.271
Cl 0.772 0.920 0.566
Cl 0.500 0.000 0.000
Cl 0.000 0.500 0.000
Cl 0.857 0.919 0.854
Tl 0.596 0.419 0.867
Cl 0.228 0.080 0.434
Pb 0.172 0.156 0.296